# 1
First-principles (PBE) data for an optimized crystal structure of LaIn2HgRu, as listed in the Alexandria database.

Cell lengths 5.256, 5.256, 5.233 Å; angles 90.00, 90.00, 90.00 degrees
Atoms (fractional coordinates):
Ru 0.000 0.000 0.000
In 0.000 0.500 0.000
In 0.500 0.000 0.000
Hg 0.500 0.500 0.500
La 0.000 0.000 0.500

Calculated values
- Space-group type: No. 123
- Calculated formation energy: -1.4 eV/f.u.



# 2
First-principles (PBE) data for an optimized crystal structure of LaInHgSb, as listed in the Alexandria database.

Cell lengths 5.458, 5.458, 5.458 Å; angles 60.00, 60.00, 60.00 degrees
Atoms (fractional coordinates):
Sb 0.000 0.000 0.000
In 0.750 0.750 0.750
Hg 0.500 0.500 0.500
La 0.250 0.250 0.250

Calculated values
- Space-group type: No. 216
- Formation energy from raw total energies: -0.452 eV/atom
- Polymorph energy (0 for the lowest one): 0.134 eV per atom



# 3
First-principles (PBE) data for an optimized crystal structure of LaInHgSb, as listed in the Alexandria database.

Cell lengths 4.539, 4.735, 5.181 Å; angles 90.00, 90.00, 90.00 degrees
Atoms (fractional coordinates):
La 0.500 0.500 0.000
In 0.500 0.000 0.500
Hg 0.000 0.500 0.500
Sb 0.000 0.000 0.000

Calculated values
- Space-group type: No. 47
- Formation energy from raw total energies: -0.586 eV/atom
- Polymorph energy (0 for the lowest one): 0.000 eV per atom



# 4
First-principles (PBE) data for an optimized crystal structure of LaSc2In2Hg2, as listed in the Alexandria database.

Cell lengths 4.840, 4.840, 9.253 Å; angles 74.84, 74.84, 60.00 degrees
Last column: magnetic moment on the atom in μB.
Atoms (fractional coordinates):
La 0.000 0.000 0.000  0.03
Sc 0.137 0.137 0.589  0.09
Sc 0.863 0.863 0.411  0.09
In 0.738 0.738 0.785  0.00
In 0.262 0.262 0.215  0.00
Hg 0.560 0.560 0.319  0.00
Hg 0.440 0.440 0.681  0.00

Calculated values
- Space-group type: No. 166
- Calculated formation energy: -2.3 eV/f.u.



# 5
First-principles (PBE) data for an optimized crystal structure of LaInHgSe2, as listed in the Alexandria database.

Cell lengths 5.388, 5.325, 5.388 Å; angles 90.00, 90.00, 90.00 degrees
Atoms (fractional coordinates):
In 0.000 0.000 0.000
Hg 0.000 0.500 0.000
Se 0.000 0.000 0.500
Se 0.500 0.000 0.000
La 0.500 0.500 0.500

Calculated values
- Space-group type: No. 123
- Formation energy from raw total energies: -0.383 eV/atom



# 6
First-principles (PBE) data for an optimized crystal structure of La2SmIn3Hg6, as listed in the Alexandria database.

Cell lengths 4.347, 4.347, 20.480 Å; angles 90.00, 90.00, 90.00 degrees
Atoms (fractional coordinates):
La 0.500 0.500 0.217
La 0.500 0.500 0.783
Sm 0.500 0.500 0.500
In 0.000 0.000 0.282
In 0.000 0.000 0.718
In 0.000 0.000 0.000
Hg 0.000 0.500 0.613
Hg 0.500 0.000 0.387
Hg 0.500 0.000 0.613
Hg 0.000 0.000 0.137
Hg 0.000 0.500 0.387
Hg 0.000 0.000 0.863

Calculated values
- Space-group type: No. 123
- Calculated formation energy: -1.5 eV/f.u.



# 7
First-principles (PBE) data for an optimized crystal structure of LaSm2In2Hg2, as listed in the Alexandria database.

Cell lengths 4.996, 4.996, 9.682 Å; angles 75.05, 75.05, 60.00 degrees
Atoms (fractional coordinates):
La 0.000 0.000 0.000
Sm 0.132 0.132 0.603
Sm 0.868 0.868 0.397
In 0.734 0.734 0.797
In 0.266 0.266 0.203
Hg 0.574 0.574 0.277
Hg 0.426 0.426 0.723

Calculated values
- Space-group type: No. 166
- Calculated formation energy: -2.4 eV/f.u.



# 8
First-principles (PBE) data for an optimized crystal structure of SrLa2In2Hg2, as listed in the Alexandria database.

Cell lengths 4.994, 4.994, 10.303 Å; angles 75.97, 75.97, 60.00 degrees
Atoms (fractional coordinates):
Sr 0.000 0.000 0.000
La 0.139 0.139 0.584
La 0.861 0.861 0.416
In 0.738 0.738 0.785
In 0.262 0.262 0.215
Hg 0.572 0.572 0.283
Hg 0.428 0.428 0.717

Calculated values
- Space-group type: No. 166
- Calculated formation energy: -2.6 eV/f.u.



Number 1: DOS(E_F) 0.59 states/eV per atom, density 7.70 g/cm3. Number 2: DOS(E_F) 0.95 states/eV per atom, density 8.32 g/cm3. Number 3: DOS(E_F) 0.70 states/eV per atom, density 8.59 g/cm3. Number 4: DOS(E_F) 0.73 states/eV per atom, density 7.98 g/cm3. Number 5: DOS(E_F) 0.87 states/eV per atom, density 6.58 g/cm3. Number 6: DOS(E_F) 0.80 states/eV per atom, density 8.48 g/cm3. Number 7: DOS(E_F) 0.59 states/eV per atom, density 8.90 g/cm3. Number 8: DOS(E_F) 0.19 states/eV per atom, density 7.74 g/cm3.